{"formula": "Dy3MoO6", "functional": "PBE+U", "state": "optimized geometry", "magnetic_moment_mub_per_atom": 0.300, "vol_a3_per_cell": 292, "final_energy_ev_per_atom": -8.191, "cell": [[-1.938, -1.202, 6.236], [-4.872, -3.755, -2.499], [4.237, -5.111, 0.071]], "species": ["Dy", "Dy", "Dy", "Dy", "Dy", "Dy", "Mo", "Mo", "O", "O", "O", "O", "O", "O", "O", "O", "O", "O", "O", "O"], "fractional_positions": [[0.440, 0.931, 0.747], [0.931, 0.747, 0.440], [0.253, 0.560, 0.069], [0.747, 0.440, 0.931], [0.069, 0.253, 0.560], [0.560, 0.069, 0.253], [0.000, 0.000, 0.000], [0.500, 0.500, 0.500], [0.310, 0.909, 0.069], [0.091, 0.931, 0.690], [0.596, 0.811, 0.466], [0.931, 0.690, 0.091], [0.466, 0.596, 0.811], [0.189, 0.534, 0.404], [0.811, 0.466, 0.596], [0.534, 0.404, 0.189], [0.069, 0.310, 0.909], [0.404, 0.189, 0.534], [0.909, 0.069, 0.310], [0.690, 0.091, 0.931]]}